(1)
First-principles (GGA-PBEsol) data for a relaxed Te2Os crystal, as listed in Alexandria via LeMat-Bulk.

CIF file:
```
data_Te2Os
_cell_length_a 5.0285
_cell_length_b 5.0285
_cell_length_c 2.9689
_cell_angle_alpha 90.00
_cell_angle_beta 90.00
_cell_angle_gamma 120.00
_space_group_name_H-M_alt 'P 6/m m m'
_space_group_IT_number 191
_space_group_name_Hall '-P 6 2'
loop_
_atom_site_label
_atom_site_type_symbol
_atom_site_fract_x
_atom_site_fract_y
_atom_site_fract_z
Te1 Te 0.3333 0.6667 0.0000
Os1 Os 0.0000 0.0000 0.5000
```

Computed properties:
Raw formation energy   1.505 eV per atom



(2)
First-principles (GGA-PBEsol) data for a relaxed CdW2Cl crystal, as listed in Alexandria via LeMat-Bulk.

CIF file:
```
data_CdW2Cl
_cell_length_a 2.8584
_cell_length_b 4.8437
_cell_length_c 4.9388
_cell_angle_alpha 90.00
_cell_angle_beta 90.00
_cell_angle_gamma 90.00
_space_group_name_H-M_alt 'P m m m'
_space_group_IT_number 47
loop_
_space_group_symop_operation_xyz
'x,y,z'
'-x,-y,-z'
'-x,-y,z'
'x,y,-z'
'x,-y,-z'
'-x,y,z'
'-x,y,-z'
'x,-y,z'
loop_
_atom_site_label
_atom_site_type_symbol
_atom_site_fract_x
_atom_site_fract_y
_atom_site_fract_z
Cd1 Cd 0.0000 0.0000 0.0000
W1 W 0.0000 0.5000 0.5000
W2 W 0.5000 0.0000 0.5000
Cl1 Cl 0.5000 0.5000 0.0000
```

Computed properties:
Offset from the most stable computed form   251 meV/atom
Raw formation energy   0.931 eV per atom



(3)
First-principles (GGA-PBEsol) data for a relaxed SrCuSb3 crystal, as listed in Alexandria via LeMat-Bulk.

CIF file:
```
data_SrCuSb3
_cell_length_a 5.1541
_cell_length_b 5.1541
_cell_length_c 5.1541
_cell_angle_alpha 90.00
_cell_angle_beta 90.00
_cell_angle_gamma 90.00
_space_group_name_H-M_alt 'P m -3 m'
_space_group_IT_number 221
_space_group_name_Hall '-P 4 2 3'
loop_
_atom_site_label
_atom_site_type_symbol
_atom_site_fract_x
_atom_site_fract_y
_atom_site_fract_z
Sr1 Sr 0.0000 0.0000 0.0000
Cu1 Cu 0.5000 0.5000 0.5000
Sb1 Sb 0.0000 0.5000 0.5000
```

Computed properties:
Offset from the most stable computed form   0 meV/atom
Raw formation energy   -0.141 eV per atom



(4)
First-principles (GGA-PBEsol) data for a relaxed HfPd3C crystal, as listed in Alexandria via LeMat-Bulk.

CIF file:
```
data_HfPd3C
_cell_length_a 4.1579
_cell_length_b 4.1579
_cell_length_c 4.1579
_cell_angle_alpha 90.00
_cell_angle_beta 90.00
_cell_angle_gamma 90.00
_space_group_name_H-M_alt 'P m -3 m'
_space_group_IT_number 221
_space_group_name_Hall '-P 4 2 3'
loop_
_atom_site_label
_atom_site_type_symbol
_atom_site_fract_x
_atom_site_fract_y
_atom_site_fract_z
Hf1 Hf 0.0000 0.0000 0.0000
Pd1 Pd 0.0000 0.5000 0.5000
C1 C 0.5000 0.5000 0.5000
```

Computed properties:
DFT formation energy   -0.0019 eV/atom



(5)
First-principles (GGA-PBEsol) data for a relaxed YAsSeN2 crystal, as listed in Alexandria via LeMat-Bulk.

CIF file:
```
data_YAsSeN2
_cell_length_a 3.9322
_cell_length_b 3.9322
_cell_length_c 4.9361
_cell_angle_alpha 90.00
_cell_angle_beta 90.00
_cell_angle_gamma 90.00
_space_group_name_H-M_alt 'P 4/m m m'
_space_group_IT_number 123
_space_group_name_Hall '-P 4 2'
loop_
_atom_site_label
_atom_site_type_symbol
_atom_site_fract_x
_atom_site_fract_y
_atom_site_fract_z
Y1 Y 0.0000 0.0000 0.0000
As1 As 0.5000 0.5000 0.5000
Se1 Se 0.5000 0.5000 0.0000
N1 N 0.0000 0.5000 0.5000
```

Computed properties:
Raw formation energy   0.176 eV per atom



(6)
First-principles (GGA-PBEsol) data for a relaxed MgZnP2 crystal, as listed in Alexandria via LeMat-Bulk.

CIF file:
```
data_MgZnP2
_cell_length_a 2.9722
_cell_length_b 2.9722
_cell_length_c 7.1433
_cell_angle_alpha 90.00
_cell_angle_beta 90.00
_cell_angle_gamma 90.00
_space_group_name_H-M_alt 'P 4/m m m'
_space_group_IT_number 123
_space_group_name_Hall '-P 4 2'
loop_
_atom_site_label
_atom_site_type_symbol
_atom_site_fract_x
_atom_site_fract_y
_atom_site_fract_z
Mg1 Mg 0.0000 0.0000 0.0000
Zn1 Zn 0.0000 0.0000 0.5000
P1 P 0.5000 0.5000 0.2549
```

Computed properties:
Offset from the most stable computed form   55 meV/atom
DFT formation energy   0.1124 eV/atom



(7)
First-principles (GGA-PBEsol) data for a relaxed Sr2ZnBr crystal, as listed in Alexandria via LeMat-Bulk.

CIF file:
```
data_Sr2ZnBr
_cell_length_a 4.2775
_cell_length_b 4.2775
_cell_length_c 24.6687
_cell_angle_alpha 90.00
_cell_angle_beta 90.00
_cell_angle_gamma 120.00
_space_group_name_H-M_alt 'R -3 m'
_space_group_IT_number 166
_space_group_name_Hall '-R 3 2"'
loop_
_atom_site_label
_atom_site_type_symbol
_atom_site_fract_x
_atom_site_fract_y
_atom_site_fract_z
Sr1 Sr 0.0000 0.0000 0.2453
Zn1 Zn 0.0000 0.0000 0.5000
Br1 Br 0.0000 0.0000 0.0000
```

Computed properties:
Raw formation energy   -0.796 eV per atom



(8)
First-principles (GGA-PBEsol) data for a relaxed Rb2InAgI6 crystal, as listed in Alexandria via LeMat-Bulk.

CIF file:
```
data_Rb2InAgI6
_cell_length_a 11.6459
_cell_length_b 11.6459
_cell_length_c 11.6459
_cell_angle_alpha 90.00
_cell_angle_beta 90.00
_cell_angle_gamma 90.00
_space_group_name_H-M_alt 'F m -3 m'
_space_group_IT_number 225
_space_group_name_Hall '-F 4 2 3'
loop_
_atom_site_label
_atom_site_type_symbol
_atom_site_fract_x
_atom_site_fract_y
_atom_site_fract_z
Rb1 Rb 0.2500 0.2500 0.2500
In1 In 0.0000 0.0000 0.0000
Ag1 Ag 0.0000 0.0000 0.5000
I1 I 0.0000 0.0000 0.2508
```

Computed properties:
Raw formation energy   -0.791 eV per atom



(9)
First-principles (GGA-PBEsol) data for a relaxed NiPW2 crystal, as listed in Alexandria via LeMat-Bulk.

CIF file:
```
data_NiPW2
_cell_length_a 3.2916
_cell_length_b 3.9278
_cell_length_c 4.1565
_cell_angle_alpha 90.00
_cell_angle_beta 90.00
_cell_angle_gamma 90.00
_space_group_name_H-M_alt 'P m m m'
_space_group_IT_number 47
loop_
_space_group_symop_operation_xyz
'x,y,z'
'-x,-y,-z'
'-x,-y,z'
'x,y,-z'
'x,-y,-z'
'-x,y,z'
'-x,y,-z'
'x,-y,z'
loop_
_atom_site_label
_atom_site_type_symbol
_atom_site_fract_x
_atom_site_fract_y
_atom_site_fract_z
Ni1 Ni 0.0000 0.0000 0.0000
P1 P 0.5000 0.0000 0.5000
W1 W 0.0000 0.5000 0.5000
W2 W 0.5000 0.5000 0.0000
```

Computed properties:
DFT formation energy   0.2038 eV/atom



(10)
First-principles (GGA-PBEsol) data for a relaxed Sc2AgGe2 crystal, as listed in Alexandria via LeMat-Bulk.

CIF file:
```
data_Sc2AgGe2
_cell_length_a 6.7611
_cell_length_b 6.7611
_cell_length_c 3.9723
_cell_angle_alpha 90.00
_cell_angle_beta 90.00
_cell_angle_gamma 90.00
_space_group_name_H-M_alt 'P 4/m b m'
_space_group_IT_number 127
_space_group_name_Hall '-P 4 2ab'
loop_
_atom_site_label
_atom_site_type_symbol
_atom_site_fract_x
_atom_site_fract_y
_atom_site_fract_z
Sc1 Sc 0.1728 0.3272 0.0000
Ag1 Ag 0.0000 0.0000 0.5000
Ge1 Ge 0.1296 0.6296 0.5000
```

Computed properties:
DFT formation energy   -0.7067 eV/atom



(11)
First-principles (GGA-PBEsol) data for a relaxed Cr3CuO8 crystal, as listed in Alexandria via LeMat-Bulk.

CIF file:
```
data_Cr3CuO8
_cell_length_a 8.1241
_cell_length_b 5.4685
_cell_length_c 6.2576
_cell_angle_alpha 90.00
_cell_angle_beta 93.10
_cell_angle_gamma 90.00
_space_group_name_H-M_alt 'C 1 2/m 1'
_space_group_IT_number 12
loop_
_space_group_symop_operation_xyz
'x,y,z'
'-x,-y,-z'
'-x,y,-z'
'x,-y,z'
'x+1/2,y+1/2,z'
'-x+1/2,-y+1/2,-z'
'-x+1/2,y+1/2,-z'
'x+1/2,-y+1/2,z'
loop_
_atom_site_label
_atom_site_type_symbol
_atom_site_fract_x
_atom_site_fract_y
_atom_site_fract_z
Cr1 Cr 0.0000 0.0000 0.0000
Cr2 Cr 0.1474 0.5000 0.2357
Cu1 Cu 0.0000 0.0000 0.5000
O1 O 0.0294 0.2417 0.2278
O2 O 0.2298 0.0000 0.9659
O3 O 0.2361 0.0000 0.5454
```

Computed properties:
Raw formation energy   -1.616 eV per atom



(12)
First-principles (GGA-PBEsol) data for a relaxed Ba2ReMoH crystal, as listed in Alexandria via LeMat-Bulk.

CIF file:
```
data_Ba2ReMoH
_cell_length_a 6.1844
_cell_length_b 6.1844
_cell_length_c 4.5923
_cell_angle_alpha 90.00
_cell_angle_beta 90.00
_cell_angle_gamma 90.00
_space_group_name_H-M_alt 'P 4/m m m'
_space_group_IT_number 123
_space_group_name_Hall '-P 4 2'
loop_
_atom_site_label
_atom_site_type_symbol
_atom_site_fract_x
_atom_site_fract_y
_atom_site_fract_z
Ba1 Ba 0.0000 0.5000 0.0000
Re1 Re 0.0000 0.0000 0.0000
Mo1 Mo 0.0000 0.0000 0.5000
H1 H 0.5000 0.5000 0.5000
```



(13)
First-principles (GGA-PBEsol) data for a relaxed CoNi2Cl crystal, as listed in Alexandria via LeMat-Bulk.

CIF file:
```
data_CoNi2Cl
_cell_length_a 3.5087
_cell_length_b 3.5087
_cell_length_c 3.7747
_cell_angle_alpha 90.00
_cell_angle_beta 90.00
_cell_angle_gamma 90.00
_space_group_name_H-M_alt 'P 4/m m m'
_space_group_IT_number 123
_space_group_name_Hall '-P 4 2'
loop_
_atom_site_label
_atom_site_type_symbol
_atom_site_fract_x
_atom_site_fract_y
_atom_site_fract_z
Co1 Co 0.0000 0.0000 0.0000
Ni1 Ni 0.0000 0.5000 0.5000
Cl1 Cl 0.5000 0.5000 0.0000
```

Computed properties:
Offset from the most stable computed form   405 meV/atom
Raw formation energy   0.638 eV per atom



(14)
First-principles (GGA-PBEsol) data for a relaxed KSrLi crystal, as listed in Alexandria via LeMat-Bulk.

CIF file:
```
data_KSrLi
_cell_length_a 8.8330
_cell_length_b 8.8330
_cell_length_c 8.8330
_cell_angle_alpha 90.00
_cell_angle_beta 90.00
_cell_angle_gamma 90.00
_space_group_name_H-M_alt 'F -4 3 m'
_space_group_IT_number 216
_space_group_name_Hall 'F -4 2 3'
loop_
_atom_site_label
_atom_site_type_symbol
_atom_site_fract_x
_atom_site_fract_y
_atom_site_fract_z
K1 K 0.0000 0.0000 0.0000
Sr1 Sr 0.2500 0.2500 0.2500
Li1 Li 0.0000 0.0000 0.5000
```

Computed properties:
DFT formation energy   0.4620 eV/atom



(15)
First-principles (GGA-PBEsol) data for a relaxed TcRhCl crystal, as listed in Alexandria via LeMat-Bulk.

CIF file:
```
data_TcRhCl
_cell_length_a 2.8182
_cell_length_b 2.8182
_cell_length_c 11.1279
_cell_angle_alpha 90.00
_cell_angle_beta 90.00
_cell_angle_gamma 90.00
_space_group_name_H-M_alt 'I 4 m m'
_space_group_IT_number 107
_space_group_name_Hall 'I 4 -2'
loop_
_atom_site_label
_atom_site_type_symbol
_atom_site_fract_x
_atom_site_fract_y
_atom_site_fract_z
Tc1 Tc 0.0000 0.0000 0.0000
Rh1 Rh 0.0000 0.0000 0.3542
Cl1 Cl 0.0000 0.0000 0.6507
```

Computed properties:
Offset from the most stable computed form   0 meV/atom
Raw formation energy   0.246 eV per atom



(16)
First-principles (GGA-PBEsol) data for a relaxed YTa2 crystal, as listed in Alexandria via LeMat-Bulk.

CIF file:
```
data_YTa2
_cell_length_a 2.8240
_cell_length_b 8.4893
_cell_length_c 5.0437
_cell_angle_alpha 90.00
_cell_angle_beta 90.00
_cell_angle_gamma 90.00
_space_group_name_H-M_alt 'P n n m'
_space_group_IT_number 58
loop_
_space_group_symop_operation_xyz
'x,y,z'
'-x,-y,-z'
'-x,-y,z'
'x,y,-z'
'x+1/2,-y+1/2,-z+1/2'
'-x+1/2,y+1/2,z+1/2'
'-x+1/2,y+1/2,-z+1/2'
'x+1/2,-y+1/2,z+1/2'
loop_
_atom_site_label
_atom_site_type_symbol
_atom_site_fract_x
_atom_site_fract_y
_atom_site_fract_z
Y1 Y 0.0000 0.0000 0.0000
Ta1 Ta 0.1688 0.1712 0.5000
```

Computed properties:
Offset from the most stable computed form   175 meV/atom
DFT formation energy   0.5617 eV/atom



(17)
First-principles (GGA-PBEsol) data for a relaxed Y2CrCl crystal, as listed in Alexandria via LeMat-Bulk.

CIF file:
```
data_Y2CrCl
_cell_length_a 3.8019
_cell_length_b 6.0104
_cell_length_c 8.5313
_cell_angle_alpha 90.00
_cell_angle_beta 90.00
_cell_angle_gamma 90.00
_space_group_name_H-M_alt 'I m m m'
_space_group_IT_number 71
_space_group_name_Hall '-I 2 2'
loop_
_atom_site_label
_atom_site_type_symbol
_atom_site_fract_x
_atom_site_fract_y
_atom_site_fract_z
Y1 Y 0.0000 0.0000 0.2270
Cr1 Cr 0.0000 0.5000 0.0000
Cl1 Cl 0.0000 0.5000 0.5000
```

Computed properties:
Offset from the most stable computed form   294 meV/atom
Raw formation energy   -0.055 eV per atom



(18)
First-principles (GGA-PBEsol) data for a relaxed Hf2Be2Au crystal, as listed in Alexandria via LeMat-Bulk.

CIF file:
```
data_Hf2Be2Au
_cell_length_a 6.2581
_cell_length_b 6.2581
_cell_length_c 3.7649
_cell_angle_alpha 90.00
_cell_angle_beta 90.00
_cell_angle_gamma 90.00
_space_group_name_H-M_alt 'P 4/m b m'
_space_group_IT_number 127
_space_group_name_Hall '-P 4 2ab'
loop_
_atom_site_label
_atom_site_type_symbol
_atom_site_fract_x
_atom_site_fract_y
_atom_site_fract_z
Hf1 Hf 0.1705 0.3295 0.0000
Be1 Be 0.1243 0.6243 0.5000
Au1 Au 0.0000 0.0000 0.5000
```

Computed properties:
DFT formation energy   -0.4392 eV/atom



(19)
First-principles (GGA-PBEsol) data for a relaxed ErMgB5O10 crystal, as listed in Alexandria via LeMat-Bulk.

CIF file:
```
data_ErMgB5O10
_cell_length_a 8.4033
_cell_length_b 7.5871
_cell_length_c 12.0883
_cell_angle_alpha 90.00
_cell_angle_beta 129.26
_cell_angle_gamma 90.00
_space_group_name_H-M_alt 'P 1 21/c 1'
_space_group_IT_number 14
loop_
_space_group_symop_operation_xyz
'x,y,z'
'-x,-y,-z'
'-x,y+1/2,-z+1/2'
'x,-y+1/2,z+1/2'
loop_
_atom_site_label
_atom_site_type_symbol
_atom_site_fract_x
_atom_site_fract_y
_atom_site_fract_z
Er1 Er 0.0620 0.1883 0.2448
Mg1 Mg 0.4599 0.5944 0.8681
B1 B 0.0802 0.6760 0.5998
B2 B 0.1573 0.6041 0.9880
B3 B 0.2824 0.0346 0.0577
B4 B 0.3344 0.5723 0.2495
B5 B 0.4722 0.1876 0.9088
O1 O 0.0265 0.7322 0.9739
O2 O 0.1043 0.1161 0.9228
O3 O 0.1215 0.5591 0.8656
O4 O 0.1828 0.7011 0.2222
O5 O 0.2283 0.5280 0.6482
O6 O 0.3069 0.0947 0.7957
O7 O 0.3099 0.5314 0.1186
O8 O 0.3330 0.6224 0.5100
O9 O 0.4171 0.1516 0.4270
O10 O 0.4618 0.1499 0.1430
```

Computed properties:
Raw formation energy   -2.748 eV per atom



(20)
First-principles (GGA-PBEsol) data for a relaxed Ca2Dy3Sb3O14 crystal, as listed in Alexandria via LeMat-Bulk.

CIF file:
```
data_Ca2Dy3Sb3O14
_cell_length_a 10.4620
_cell_length_b 10.4867
_cell_length_c 10.3285
_cell_angle_alpha 90.00
_cell_angle_beta 90.67
_cell_angle_gamma 90.00
_space_group_name_H-M_alt 'C 1 2/c 1'
_space_group_IT_number 15
loop_
_space_group_symop_operation_xyz
'x,y,z'
'-x,-y,-z'
'-x,y,-z+1/2'
'x,-y,z+1/2'
'x+1/2,y+1/2,z'
'-x+1/2,-y+1/2,-z'
'-x+1/2,y+1/2,-z+1/2'
'x+1/2,-y+1/2,z+1/2'
loop_
_atom_site_label
_atom_site_type_symbol
_atom_site_fract_x
_atom_site_fract_y
_atom_site_fract_z
Ca1 Ca 0.0000 0.2309 0.2500
Ca2 Ca 0.2500 0.2500 0.5000
Dy1 Dy 0.0000 0.2685 0.7500
Dy2 Dy 0.2472 0.0040 0.7235
Sb1 Sb 0.0000 0.0000 0.0000
Sb2 Sb 0.0000 0.5000 0.0000
Sb3 Sb 0.2500 0.2500 0.0000
O1 O 0.0861 0.1246 0.6177
O2 O 0.0949 0.3809 0.3856
O3 O 0.1099 0.4262 0.6417
O4 O 0.1147 0.0727 0.3678
O5 O 0.1185 0.3689 0.9292
O6 O 0.1258 0.1268 0.0769
O7 O 0.2325 0.1891 0.8217
```

Computed properties:
Raw formation energy   -2.608 eV per atom



Number 1: final energy -14.8 eV/cell. Number 2: final energy -27.1 eV/cell. Number 3: final energy -20.6 eV/cell. Number 4: final energy -38.0 eV/cell. Number 5: final energy -32.0 eV/cell. Number 6: final energy -14.4 eV/cell. Number 7: final energy -31.0 eV/cell. Number 8: final energy -107.4 eV/cell. Number 9: final energy -38.7 eV/cell. Number 10: final energy -59.9 eV/cell. Number 11: final energy -192.9 eV/cell. Number 12: final energy -26.6 eV/cell. Number 13: final energy -19.5 eV/cell. Number 14: final energy -14.2 eV/cell. Number 15: final energy -41.4 eV/cell. Number 16: final energy -60.5 eV/cell. Number 17: final energy -52.2 eV/cell. Number 18: final energy -70.3 eV/cell. Number 19: final energy -563.7 eV/cell. Number 20: final energy -655.0 eV/cell.